Here is an optimized crystal structure of La6SbOs2Br3 from the Alexandria database. Energies are from PBE-GGA.

Structure (CIF):
```
data_La6SbOs2Br3
_chemical_formula_sum 'La12 Sb2 Os4 Br6'
_symmetry_space_group_name_H-M 'C 1 2/m 1'
_symmetry_Int_Tables_number 12
_symmetry_space_group_name_Hall '-C 2y'
_cell_length_a 19.8109
_cell_length_b 4.3114
_cell_length_c 9.3709
_cell_angle_alpha 90.00
_cell_angle_beta 107.14
_cell_angle_gamma 90.00
loop_
_atom_site_label
_atom_site_type_symbol
_atom_site_fract_x
_atom_site_fract_y
_atom_site_fract_z
La1 La 0.0262 0.0000 0.2589
La2 La 0.1702 0.5000 0.1399
La3 La 0.1797 0.5000 0.5589
Sb1 Sb 0.0000 0.5000 0.0000
Os1 Os 0.1683 0.0000 0.3424
Br1 Br 0.0000 0.5000 0.5000
Br2 Br 0.1621 0.0000 0.8435
```

Summary:
For the total energy, the calculation gives -147.1 eV per cell. As for the total moment: 0.00 μB per formula unit. The uncorrected formation energy is -1196 kJ/mol of formula units.